Record 1
Density functional theory data (PBE) for crystalline P4Br at its relaxed geometry.

Unit cell a=4.134 b=4.134 c=11.313 alpha=90.00 beta=90.00 gamma=90.00
Space group I4/mmm (No. 139)
One atom of each set of equivalent atoms:
P  0.000  0.000  0.149
P  0.000  0.500  0.250
Br  0.000  0.000  0.500

Summary:
Spin magnetization = 0.00 μB/cell
E above lowest polymorph = 0.0000 eV per atom
ΔE_f (raw) = 1.09 eV/f.u.

---

Record 2
Density functional theory data (PBE) for crystalline AlSiIr at its relaxed geometry.

Unit cell a=2.848 b=2.848 c=10.634 alpha=90.00 beta=90.00 gamma=90.00
Space group I4mm (No. 107)
One atom of each set of equivalent atoms:
Al  0.000  0.000  0.000
Si  0.000  0.000  0.314
Ir  0.000  0.000  0.668

Summary:
Spin magnetization = 0.00 μB/cell
ΔE_f (raw) = -0.99 eV/f.u.

---

Record 3
Density functional theory data (PBE) for crystalline SmDy2Ho3Sb6 at its relaxed geometry.

Unit cell a=19.134 b=4.390 c=8.780 alpha=90.00 beta=103.22 gamma=90.00
Space group C2/m (No. 12)
One atom of each set of equivalent atoms:
Sm  0.000  0.000  0.000
Dy  0.167  0.500  0.333
Ho  0.000  0.000  0.500
Ho  0.166  0.500  0.833
Sb  0.000  0.500  0.255
Sb  0.166  0.000  0.584
Sb  0.169  0.000  0.083

Summary:
Spin magnetization = 0.00 μB/cell
ΔE_f (raw) = -13.55 eV/f.u.

---

Record 4
Density functional theory data (PBE) for crystalline TbAs3 at its relaxed geometry.

Unit cell a=4.373 b=4.373 c=4.373 alpha=90.00 beta=90.00 gamma=90.00
Space group Pm-3m (No. 221)
One atom of each set of equivalent atoms:
Tb  0.000  0.000  0.000
As  0.000  0.500  0.500

Summary:
E = -20.57 eV/cell
Spin magnetization = 0.00 μB/cell

---

Record 5
Density functional theory data (PBE) for crystalline BaTcRu4 at its relaxed geometry.

Unit cell a=7.518 b=7.518 c=7.518 alpha=90.00 beta=90.00 gamma=90.00
Space group F-43m (No. 216)
One atom of each set of equivalent atoms:
Ba  0.000  0.000  0.000
Tc  0.250  0.250  0.250
Ru  0.124  0.124  0.624

Summary:
E = -176.35 eV/cell
Spin magnetization = 1.11 μB/cell

---

Record 6
Density functional theory data (PBE) for crystalline Cs2CeO2F2 at its relaxed geometry.

Unit cell a=4.435 b=4.435 c=15.808 alpha=90.00 beta=90.00 gamma=90.00
Space group I4/mmm (No. 139)
One atom of each set of equivalent atoms:
Cs  0.000  0.000  0.150
Ce  0.000  0.000  0.500
O  0.000  0.500  0.000
F  0.000  0.000  0.349

Summary:
Spin magnetization = 0.00 μB/cell
ΔE_f (raw) = -20.59 eV/f.u.

---

Record 7
Density functional theory data (PBE) for crystalline TiReRh6 at its relaxed geometry.

Unit cell a=5.441 b=5.441 c=3.861 alpha=90.00 beta=90.00 gamma=90.00
Space group P4/mmm (No. 123)
One atom of each set of equivalent atoms:
Ti  0.000  0.000  0.000
Re  0.500  0.500  0.000
Rh  0.000  0.500  0.000
Rh  0.254  0.254  0.500

Summary:
E = -67.41 eV/cell
Spin magnetization = 0.00 μB/cell

---

Record 8
Density functional theory data (PBE) for crystalline CsKSn2Cl6 at its relaxed geometry.

Unit cell a=11.638 b=15.666 c=10.277 alpha=90.00 beta=120.11 gamma=90.00
Space group C2/c (No. 15)
One atom of each set of equivalent atoms:
Cs  0.000  0.083  0.250
K  0.000  0.260  0.750
Sn  0.139  0.396  0.193
Cl  0.110  0.095  0.640
Cl  0.141  0.450  0.962
Cl  0.160  0.240  0.133

Summary:
Spin magnetization = 0.00 μB/cell
ΔE_f (raw) = -14.08 eV/f.u.

---

Record 9
Density functional theory data (PBE) for crystalline FeNi2Ir at its relaxed geometry.

Unit cell a=8.541 b=2.612 c=4.463 alpha=90.00 beta=100.44 gamma=90.00
Space group Cm (No. 8)
One atom of each set of equivalent atoms:
Fe  0.000  0.000  0.000
Ni  0.248  0.500  0.240
Ni  0.499  0.000  0.486
Ir  0.248  0.000  0.735

Summary:
E = -57.87 eV/cell
Spin magnetization = 8.55 μB/cell

---

Record 10
Density functional theory data (PBE) for crystalline Tb3Ho2Tm6Sc at its relaxed geometry.

Unit cell a=6.054 b=10.474 c=11.572 alpha=90.00 beta=100.03 gamma=90.00
Space group C2/m (No. 12)
One atom of each set of equivalent atoms:
Tb  0.000  0.000  0.000
Tb  0.000  0.334  0.000
Ho  0.000  0.167  0.500
Tm  0.247  0.334  0.747
Tm  0.250  0.000  0.747
Sc  0.000  0.500  0.500

Summary:
E = -111.69 eV/cell
Spin magnetization = 0.00 μB/cell

---

Record 11
Density functional theory data (PBE) for crystalline ZrGaBi at its relaxed geometry.

Unit cell a=5.626 b=8.182 c=5.966 alpha=90.00 beta=90.00 gamma=90.00
Space group Ima2 (No. 46)
One atom of each set of equivalent atoms:
Zr  0.250  0.249  0.000
Ga  0.000  0.000  0.748
Bi  0.250  0.618  0.752

Summary:
Spin magnetization = 0.00 μB/cell
E above lowest polymorph = 0.0517 eV per atom

---

Record 12
Density functional theory data (PBE) for crystalline AcPr5Ga6 at its relaxed geometry.

Unit cell a=5.320 b=7.504 c=9.207 alpha=113.96 beta=106.68 gamma=90.06
Space group P-1 (No. 2)
One atom of each set of equivalent atoms:
Ac  0.000  0.000  0.000
Pr  0.000  0.500  0.000
Pr  0.329  0.329  0.658
Pr  0.339  0.839  0.679
Ga  0.170  0.429  0.340
Ga  0.171  0.911  0.341
Ga  0.500  0.269  0.000

Summary:
E = -52.36 eV/cell
Spin magnetization = 0.00 μB/cell

---

Which value of spin magnetization does entry 7 give?
0.00 μB/cell